# 1
Compound: Ti4ZnBi
Source: the Alexandria database
Functional: PBE
Structure: relaxed

Structure (CIF):
```
data_Ti4ZnBi
_chemical_formula_sum 'Ti8 Zn2 Bi2'
_cell_length_a 5.5288
_cell_length_b 5.2671
_cell_length_c 7.6755
_cell_angle_alpha 90.00
_cell_angle_beta 90.00
_cell_angle_gamma 90.00
_symmetry_space_group_name_H-M 'P m n 21'
_symmetry_Int_Tables_number 31
_symmetry_space_group_name_Hall 'P 2ac -2'
loop_
_atom_site_label
_atom_site_fract_x
_atom_site_fract_y
_atom_site_fract_z
Ti1 0.0000 0.0367 0.0000
Ti2 0.0000 0.7880 0.6298
Ti3 0.2452 0.2787 0.7358
Zn1 0.0000 0.5291 0.9709
Bi1 0.0000 0.2050 0.3727
```

Output
Total energy = -6.073 eV per atom
ΔE to the lowest computed polymorph = 0.147 eV per atom

=====

# 2
Compound: Ti2Zn2Bi
Source: the Alexandria database
Functional: PBE
Structure: relaxed

Structure (CIF):
```
data_Ti2Zn2Bi
_chemical_formula_sum 'Ti4 Zn4 Bi2'
_cell_length_a 6.9865
_cell_length_b 6.9865
_cell_length_c 3.7705
_cell_angle_alpha 90.00
_cell_angle_beta 90.00
_cell_angle_gamma 90.00
_symmetry_space_group_name_H-M 'P 4/m b m'
_symmetry_Int_Tables_number 127
_symmetry_space_group_name_Hall '-P 4 2ab'
loop_
_atom_site_label
_atom_site_fract_x
_atom_site_fract_y
_atom_site_fract_z
Ti1 0.1714 0.3286 0.0000
Zn1 0.1210 0.6210 0.5000
Bi1 0.0000 0.0000 0.5000
```

Output
Total energy = -4.369 eV per atom
ΔE to the lowest computed polymorph = 0.000 eV per atom

=====

# 3
Compound: Ti8ZnBi2
Source: the Alexandria database
Functional: PBE
Structure: relaxed

Structure (CIF):
```
data_Ti8ZnBi2
_chemical_formula_sum 'Ti16 Zn2 Bi4'
_cell_length_a 15.8816
_cell_length_b 3.8783
_cell_length_c 7.0543
_cell_angle_alpha 90.00
_cell_angle_beta 109.84
_cell_angle_gamma 90.00
_symmetry_space_group_name_H-M 'C 1 2/m 1'
_symmetry_Int_Tables_number 12
_symmetry_space_group_name_Hall '-C 2y'
loop_
_atom_site_label
_atom_site_fract_x
_atom_site_fract_y
_atom_site_fract_z
Ti1 0.0406 0.0000 0.2622
Ti2 0.0756 0.5000 0.9431
Ti3 0.1298 0.0000 0.6900
Ti4 0.1693 0.5000 0.4238
Zn1 0.0000 0.5000 0.5000
Bi1 0.2113 0.0000 0.1606
```

Output
Total energy = -6.637 eV per atom

=====

# 4
Compound: TiZnBi2
Source: the Alexandria database
Functional: PBE
Structure: relaxed

Structure (CIF):
```
data_TiZnBi2
_chemical_formula_sum 'Ti4 Zn4 Bi8'
_cell_length_a 6.4598
_cell_length_b 6.4598
_cell_length_c 12.6687
_cell_angle_alpha 90.00
_cell_angle_beta 90.00
_cell_angle_gamma 90.00
_symmetry_space_group_name_H-M 'I -4 2 d'
_symmetry_Int_Tables_number 122
_symmetry_space_group_name_Hall 'I -4 2bw'
loop_
_atom_site_label
_atom_site_fract_x
_atom_site_fract_y
_atom_site_fract_z
Ti1 0.0000 0.0000 0.0000
Zn1 0.0000 0.0000 0.5000
Bi1 0.2463 0.2500 0.1250
```

Output
Total energy = -3.920 eV per atom

=====

# 5
Compound: Ti12ZnBi6
Source: the Alexandria database
Functional: PBE
Structure: relaxed

Structure (CIF):
```
data_Ti12ZnBi6
_chemical_formula_sum 'Ti36 Zn3 Bi18'
_cell_length_a 10.6868
_cell_length_b 10.6868
_cell_length_c 11.7204
_cell_angle_alpha 90.00
_cell_angle_beta 90.00
_cell_angle_gamma 120.00
_symmetry_space_group_name_H-M 'R -3'
_symmetry_Int_Tables_number 148
_symmetry_space_group_name_Hall '-R 3'
loop_
_atom_site_label
_atom_site_fract_x
_atom_site_fract_y
_atom_site_fract_z
Ti1 0.0453 0.1758 0.3141
Ti2 0.0472 0.8659 0.9070
Zn1 0.0000 0.0000 0.5000
Bi1 0.0118 0.4113 0.2131
```

Output
Total energy = -6.245 eV per atom

=====

# 6
Compound: ZrTiBi4
Source: the Alexandria database
Functional: PBE
Structure: relaxed

Structure (CIF):
```
data_ZrTiBi4
_chemical_formula_sum 'Zr2 Ti2 Bi8'
_cell_length_a 7.6708
_cell_length_b 8.0046
_cell_length_c 5.7621
_cell_angle_alpha 90.00
_cell_angle_beta 108.32
_cell_angle_gamma 90.00
_symmetry_space_group_name_H-M 'P 1 21/c 1'
_symmetry_Int_Tables_number 14
_symmetry_space_group_name_Hall '-P 2ybc'
loop_
_atom_site_label
_atom_site_fract_x
_atom_site_fract_y
_atom_site_fract_z
Zr1 0.0000 0.0000 0.0000
Ti1 0.5000 0.0000 0.5000
Bi1 0.1590 0.1377 0.5433
Bi2 0.3585 0.6511 0.4894
```

Output
Total energy = -5.260 eV per atom

=====

# 7
Compound: Zr2TiBi
Source: the Alexandria database
Functional: PBE
Structure: relaxed

Structure (CIF):
```
data_Zr2TiBi
_chemical_formula_sum 'Zr8 Ti4 Bi4'
_cell_length_a 7.9747
_cell_length_b 7.9747
_cell_length_c 5.9505
_cell_angle_alpha 90.00
_cell_angle_beta 90.00
_cell_angle_gamma 90.00
_symmetry_space_group_name_H-M 'I -4 2 d'
_symmetry_Int_Tables_number 122
_symmetry_space_group_name_Hall 'I -4 2bw'
loop_
_atom_site_label
_atom_site_fract_x
_atom_site_fract_y
_atom_site_fract_z
Zr1 0.2389 0.2500 0.1250
Ti1 0.0000 0.0000 0.0000
Bi1 0.0000 0.0000 0.5000
```

Output
Total energy = -6.887 eV per atom

=====

# 8
Compound: ZrTi3Bi
Source: the Alexandria database
Functional: PBE
Structure: relaxed

Structure (CIF):
```
data_ZrTi3Bi
_chemical_formula_sum 'Zr1 Ti3 Bi1'
_cell_length_a 4.9091
_cell_length_b 4.9091
_cell_length_c 4.9091
_cell_angle_alpha 90.00
_cell_angle_beta 90.00
_cell_angle_gamma 90.00
_symmetry_space_group_name_H-M 'P m -3 m'
_symmetry_Int_Tables_number 221
_symmetry_space_group_name_Hall '-P 4 2 3'
loop_
_atom_site_label
_atom_site_fract_x
_atom_site_fract_y
_atom_site_fract_z
Zr1 0.0000 0.0000 0.0000
Ti1 0.0000 0.0000 0.5000
Bi1 0.5000 0.5000 0.5000
```

Output
Total energy = -6.257 eV per atom
ΔE to the lowest computed polymorph = 0.780 eV per atom